No. 1
Below is SrInPt at its PBEsol-relaxed geometry, with properties calculated at the meta-GGA SCAN level.

Summary:
* crystal system: orthorhombic
* DOS(E_F): 1.37 states/eV/f.u.
* energy relative to the elements: -0.923 eV/atom
* magnetic moment: 0.0000 μB/atom

Cell: 7.5105 4.4980 8.4279 Å, 90.00 90.00 90.00°
Space group Pnma (No. 62)
Asymmetric unit:
Sr 0.0299 0.2500 0.1778
In 0.1459 0.2500 0.5655
Pt 0.2230 0.7500 0.3781

=====

No. 2
Below is Li2CoSe at its PBEsol-relaxed geometry, with properties calculated at the meta-GGA SCAN level.

Summary:
* raw formation energy: -0.452 eV/atom
* crystal system: tetragonal
* DOS(E_F): 0.82 states/eV/f.u.
* magnetic moment: 0.3310 μB/atom

Cell: 3.5851 3.5851 3.8494 Å, 90.00 90.00 90.00°
Space group P4/mmm (No. 123)
Asymmetric unit:
Li 0.0000 0.5000 0.0000
Co 0.0000 0.0000 0.5000
Se 0.5000 0.5000 0.5000

=====

No. 3
Below is Cu3AsS3 at its PBEsol-relaxed geometry, with properties calculated at the meta-GGA SCAN level.

Summary:
* raw formation energy: -0.226 eV/atom
* crystal system: cubic
* DOS(E_F): 4.83 states/eV/f.u.
* magnetic moment: 0.0000 μB/atom

Cell: 9.7817 9.7817 9.7817 Å, 90.00 90.00 90.00°
Space group I-43m (No. 217)
Asymmetric unit:
Cu 0.0000 0.0000 0.1818
Cu 0.0000 0.2500 0.5000
As 0.2347 0.2347 0.7653
S 0.1135 0.1135 0.3528